! BeNi2Br (PBE, optimized geometry); values from VASP
&SYSTEM
  ibrav = 0, nat = 4, ntyp = 3
/
ATOMIC_SPECIES
Ni 58.69 Ni.upf
Be 9.01 Be.upf
Br 79.90 Br.upf
ATOMIC_POSITIONS crystal
Ni 0.000 0.000 0.000
Ni 0.500 0.500 0.000
Be 0.500 0.000 0.500
Br 0.000 0.500 0.500
CELL_PARAMETERS angstrom
3.964 0.073 0.000
-0.074 3.964 0.000
0.000 0.000 3.194
! DOS at the Fermi energy ... 1.4 states/eV/f.u.
! Magnetization ... 0.00 μB/f.u.
! Excess energy over the best structure of this formula in the dataset ... 1.48 eV/f.u.
! SG ... P4/mmm
! Formation energy without anion corrections ... 504 meV/atom